# PBE Li2Ho2HfSe6, optimized geometry
# **Raw formation energy**: -1.58 eV/atom
data_Li2Ho2HfSe6
_chemical_formula_sum 'Li2 Ho2 Hf1 Se6'
_space_group_name_H-M_alt 'P 1'
_space_group_IT_number 1
_cell_length_a 6.8883
_cell_length_b 6.8883
_cell_length_c 6.8744
_cell_angle_alpha 99.36
_cell_angle_beta 99.36
_cell_angle_gamma 119.55
loop_
_space_group_symop_operation_xyz
'x,y,z'
loop_
_atom_site_label
_atom_site_fract_x
_atom_site_fract_y
_atom_site_fract_z
Li1 0.1639 0.8361 0.0000
Li2 0.8361 0.1639 0.0000
Ho1 0.3336 0.6664 0.5000
Ho2 0.6664 0.3336 0.5000
Hf1 0.0000 0.0000 0.5000
Se1 0.0773 0.3967 0.7449
Se2 0.2352 0.2352 0.2561
Se3 0.3967 0.0773 0.7449
Se4 0.6033 0.9227 0.2551
Se5 0.7648 0.7648 0.7439
Se6 0.9227 0.6033 0.2551


# PBE LiHoHfTc, optimized geometry
# **ΔH_f (0 K)**: -0.1157 eV per atom
data_LiHoHfTc
_chemical_formula_sum 'Li1 Ho1 Hf1 Tc1'
_space_group_name_H-M_alt 'P 1'
_space_group_IT_number 1
_cell_length_a 4.7560
_cell_length_b 4.7560
_cell_length_c 4.7560
_cell_angle_alpha 60.00
_cell_angle_beta 60.00
_cell_angle_gamma 60.00
loop_
_space_group_symop_operation_xyz
'x,y,z'
loop_
_atom_site_label
_atom_site_fract_x
_atom_site_fract_y
_atom_site_fract_z
Li1 0.0000 0.0000 0.0000
Ho1 0.7500 0.7500 0.7500
Hf1 0.2500 0.2500 0.2500
Tc1 0.5000 0.5000 0.5000


# PBE HoLuHf2, optimized geometry
# **ΔH_f (0 K)**: 0.1647 eV per atom
# **Energy relative to the lowest polymorph listed for this composition**: 4 meV per atom
data_HoLuHf2
_chemical_formula_sum 'Ho1 Lu1 Hf2'
_space_group_name_H-M_alt 'P 1'
_space_group_IT_number 1
_cell_length_a 4.6339
_cell_length_b 4.6339
_cell_length_c 4.7297
_cell_angle_alpha 90.00
_cell_angle_beta 90.00
_cell_angle_gamma 90.00
loop_
_space_group_symop_operation_xyz
'x,y,z'
loop_
_atom_site_label
_atom_site_fract_x
_atom_site_fract_y
_atom_site_fract_z
Ho1 0.0000 0.0000 0.0000
Lu1 0.5000 0.5000 0.0000
Hf1 0.0000 0.5000 0.5000
Hf2 0.5000 0.0000 0.5000


# PBE Ho2LuHf, optimized geometry
# **ΔH_f (0 K)**: 0.1299 eV per atom
# **Energy relative to the lowest polymorph listed for this composition**: 0 meV per atom
data_Ho2LuHf
_chemical_formula_sum 'Ho2 Lu1 Hf1'
_space_group_name_H-M_alt 'P 1'
_space_group_IT_number 1
_cell_length_a 4.8075
_cell_length_b 4.8075
_cell_length_c 4.7814
_cell_angle_alpha 90.00
_cell_angle_beta 90.00
_cell_angle_gamma 90.00
loop_
_space_group_symop_operation_xyz
'x,y,z'
loop_
_atom_site_label
_atom_site_fract_x
_atom_site_fract_y
_atom_site_fract_z
Ho1 0.0000 0.5000 0.0000
Ho2 0.5000 0.0000 0.0000
Lu1 0.0000 0.0000 0.5000
Hf1 0.5000 0.5000 0.5000


# PBE Ho2LuHf, optimized geometry
# **ΔH_f (0 K)**: 0.2148 eV per atom
# **Energy relative to the lowest polymorph listed for this composition**: 85 meV per atom
data_Ho2LuHf
_chemical_formula_sum 'Ho2 Lu1 Hf1'
_space_group_name_H-M_alt 'P 1'
_space_group_IT_number 1
_cell_length_a 3.9668
_cell_length_b 3.9668
_cell_length_c 7.1186
_cell_angle_alpha 90.00
_cell_angle_beta 90.00
_cell_angle_gamma 90.00
loop_
_space_group_symop_operation_xyz
'x,y,z'
loop_
_atom_site_label
_atom_site_fract_x
_atom_site_fract_y
_atom_site_fract_z
Ho1 0.0000 0.0000 0.2275
Ho2 0.0000 0.0000 0.7725
Lu1 0.5000 0.5000 0.5000
Hf1 0.5000 0.5000 0.0000


# PBE HoLuHf2, optimized geometry
# **ΔH_f (0 K)**: 0.1605 eV per atom
# **Energy relative to the lowest polymorph listed for this composition**: 0 meV per atom
data_HoLuHf2
_chemical_formula_sum 'Ho1 Lu1 Hf2'
_space_group_name_H-M_alt 'P 1'
_space_group_IT_number 1
_cell_length_a 11.0246
_cell_length_b 11.0246
_cell_length_c 11.0246
_cell_angle_alpha 17.13
_cell_angle_beta 17.13
_cell_angle_gamma 17.13
loop_
_space_group_symop_operation_xyz
'x,y,z'
loop_
_atom_site_label
_atom_site_fract_x
_atom_site_fract_y
_atom_site_fract_z
Ho1 0.0000 0.0000 0.0000
Lu1 0.5000 0.5000 0.5000
Hf1 0.2496 0.2496 0.2496
Hf2 0.7504 0.7504 0.7504